First-principles (PBE-GGA) data for a relaxed structure of Ce4CoPb, as listed in Alexandria via LeMat-Bulk.

Unit cell a=5.9619 b=7.7471 c=8.1392 alpha=109.54 beta=100.52 gamma=112.71
Last column: nearest neighbours and their distance in Å.
Atoms (fractional coordinates):
Co  0.2638  0.0138  0.0275  4 Ce 2.51-2.77
Ce  0.6961  0.3376  0.1601  2 Co 2.51-2.77, 1 Ce 2.75
Pb  0.6365  0.3865  0.7729  10 Ce 3.27-3.54
Ce  0.1887  0.2461  0.3807  2 Ce 2.75, 1 Co 3.05
Ce  0.3080  0.8654  0.6193  2 Ce 2.75, 1 Co 3.05
Ce  0.8113  0.7539  0.6193  2 Ce 2.75, 1 Co 3.05
Co  0.7362  0.9862  0.9725  4 Ce 2.51-2.77
Ce  0.9640  0.8225  0.1601  2 Co 2.51-2.77, 1 Ce 2.75
Pb  0.3635  0.6135  0.2271  10 Ce 3.27-3.54
Ce  0.0360  0.1775  0.8399  2 Co 2.51-2.77, 1 Ce 2.75
Ce  0.3039  0.6624  0.8399  2 Co 2.51-2.77, 1 Ce 2.75
Ce  0.6920  0.1346  0.3807  2 Ce 2.75, 1 Co 3.05

Computed properties:
magnetic moment	0.00	μB per formula unit
energy relative to the lowest polymorph listed for this composition	0	meV/atom
density	8.998	g cm⁻³